[1]
Below is an optimized crystal structure of SbC3, with properties calculated at the PBE-GGA level.

Summary:
- E_tot: -56.1 eV/cell
- Total magnetization: 0.000 μB per cell

abc: 6.936 2.586 9.146
angles: 90.00 108.12 90.00
Space group C2/m (No. 12)
Unique sites:
Sb: 0.000 0.000 0.000 [2 per cell]
C: 0.000 0.500 0.500 [2 per cell]
C: 0.196 0.500 0.500 [4 per cell]

[2]
Below is an optimized crystal structure of SbC, with properties calculated at the PBE-GGA level.

Summary:
- E_tot: -36.1 eV/cell
- Total magnetization: 0.000 μB per cell

abc: 3.512 5.818 8.131
angles: 90.00 90.00 90.00
Space group Cmme (No. 67)
Unique sites:
Sb: 0.000 0.250 0.213 [4 per cell]
C: 0.000 0.250 0.643 [4 per cell]

> total magnetization of number 1 (SbC3)?

0.000 μB per cell

> Which of these has the lowest E_tot?

SbC3

> Look up the total magnetization of the second one.

0.000 μB per cell

> total magnetization of number 2 (SbC)?

0.000 μB per cell